# 1
# YCSe3 | the Alexandria database | PBE-GGA | relaxed
data_YCSe3
_chemical_formula_sum 'Y1 C1 Se3'
_symmetry_space_group_name_H-M 'P 1'
_symmetry_Int_Tables_number 1
_symmetry_space_group_name_Hall 'P 1'
_cell_length_a 5.451
_cell_length_b 5.451
_cell_length_c 5.451
_cell_angle_alpha 90.00
_cell_angle_beta 90.00
_cell_angle_gamma 90.00
loop_
_atom_site_label
_atom_site_fract_x
_atom_site_fract_y
_atom_site_fract_z
Y1 0.000 0.000 0.000
C1 0.500 0.500 0.500
Se1 0.000 0.000 0.500
Se2 0.000 0.500 0.000
Se3 0.500 0.000 0.000
# raw formation energy = 1.223 eV/atom
# total magnetic moment = 0.000 Bohr magnetons per cell
# space-group type = No. 221



# 2
# Y6C3Se | the Alexandria database | PBE-GGA | relaxed
data_Y6C3Se
_chemical_formula_sum 'Y12 C6 Se2'
_symmetry_space_group_name_H-M 'P 1'
_symmetry_Int_Tables_number 1
_symmetry_space_group_name_Hall 'P 1'
_cell_length_a 10.282
_cell_length_b 3.659
_cell_length_c 12.661
_cell_angle_alpha 90.00
_cell_angle_beta 112.90
_cell_angle_gamma 90.00
loop_
_atom_site_label
_atom_site_fract_x
_atom_site_fract_y
_atom_site_fract_z
Y1 0.013 0.250 0.251
Y2 0.140 0.750 0.577
Y3 0.181 0.750 0.094
Y4 0.321 0.750 0.386
Y5 0.348 0.250 0.932
Y6 0.478 0.250 0.221
Y7 0.522 0.750 0.779
Y8 0.652 0.750 0.068
Y9 0.679 0.250 0.614
Y10 0.819 0.250 0.906
Y11 0.860 0.250 0.423
Y12 0.987 0.750 0.749
C1 0.000 0.250 0.623
C2 0.000 0.750 0.377
C3 0.248 0.250 0.244
C4 0.414 0.750 0.077
C5 0.586 0.250 0.923
C6 0.752 0.750 0.756
Se1 0.379 0.250 0.583
Se2 0.621 0.750 0.417
# raw formation energy = -0.583 eV/atom
# total magnetic moment = 2.132 Bohr magnetons per cell
# space-group type = No. 11



# 3
# Y2C2Se | the Alexandria database | PBE-GGA | relaxed
data_Y2C2Se
_chemical_formula_sum 'Y4 C4 Se2'
_symmetry_space_group_name_H-M 'P 1'
_symmetry_Int_Tables_number 1
_symmetry_space_group_name_Hall 'P 1'
_cell_length_a 7.102
_cell_length_b 7.102
_cell_length_c 6.904
_cell_angle_alpha 102.31
_cell_angle_beta 102.31
_cell_angle_gamma 33.00
loop_
_atom_site_label
_atom_site_fract_x
_atom_site_fract_y
_atom_site_fract_z
Y1 0.039 0.673 0.860
Y2 0.327 0.961 0.640
Y3 0.673 0.039 0.360
Y4 0.961 0.327 0.140
C1 0.146 0.401 0.465
C2 0.401 0.146 0.965
C3 0.599 0.854 0.035
C4 0.854 0.599 0.535
Se1 0.289 0.711 0.250
Se2 0.711 0.289 0.750
# raw formation energy = -0.896 eV/atom
# total magnetic moment = 0.000 Bohr magnetons per cell
# space-group type = No. 15